1.
The following is a DFT calculation (GGA-PBE) of an optimized crystal structure of LiTbC.

The formation energy is 0.3882 eV per atom.

It has space group I4/mmm (No. 139), with a = 3.9834 Å, b = 3.9834 Å, c = 12.7340 Å, α = 90.00°, β = 90.00° and γ = 90.00°. The distinct sites, in fractional coordinates, are Li at (0.0000, 0.0000, 0.0817), Tb at (0.0000, 0.0000, 0.3746) and C at (0.0000, 0.5000, 0.0000).

2.
The following is a DFT calculation (GGA-PBE) of an optimized crystal structure of LiTb2C.

The formation energy is -0.1373 eV per atom.

It has space group R3m (No. 160, hexagonal axes), with a = 3.5459 Å, b = 3.5459 Å, c = 26.6577 Å, α = 90.00°, β = 90.00° and γ = 120.00°. The distinct sites, in fractional coordinates, are Li at (0.0000, 0.0000, 0.0000), Tb at (0.0000, 0.0000, 0.5508), Tb at (0.0000, 0.0000, 0.7814) and C at (0.0000, 0.0000, 0.1658).

3.
The following is a DFT calculation (GGA-PBE) of an optimized crystal structure of LiTc2C.

The formation energy is 1.0654 eV per atom.

It has space group I-42d (No. 122), with a = 5.1970 Å, b = 5.1970 Å, c = 10.4006 Å, α = 90.00°, β = 90.00° and γ = 90.00°. The distinct sites, in fractional coordinates, are Li at (0.0000, 0.0000, 0.0000), Tc at (0.1071, 0.2500, 0.6250) and C at (0.0000, 0.0000, 0.5000).

4.
The following is a DFT calculation (GGA-PBE) of an optimized crystal structure of LiTc3C.

The formation energy is 2.3924 eV per atom.

It has space group Pm-3m (No. 221), with a = 4.0442 Å, b = 4.0442 Å, c = 4.0442 Å, α = 90.00°, β = 90.00° and γ = 90.00°. The distinct sites, in fractional coordinates, are Li at (0.0000, 0.0000, 0.0000), Tc at (0.0000, 0.0000, 0.5000) and C at (0.5000, 0.5000, 0.5000).

5.
The following is a DFT calculation (GGA-PBE) of an optimized crystal structure of LiTc3C.

The formation energy is 0.3227 eV per atom.

It has space group Pm-3m (No. 221), with a = 4.0575 Å, b = 4.0575 Å, c = 4.0575 Å, α = 90.00°, β = 90.00° and γ = 90.00°. The distinct sites, in fractional coordinates, are Li at (0.0000, 0.0000, 0.0000), Tc at (0.0000, 0.5000, 0.5000) and C at (0.5000, 0.5000, 0.5000).

6.
The following is a DFT calculation (GGA-PBE) of an optimized crystal structure of Li3TcC.

The formation energy is 2.3275 eV per atom.

It has space group Pm-3m (No. 221), with a = 5.1366 Å, b = 5.1366 Å, c = 5.1366 Å, α = 90.00°, β = 90.00° and γ = 90.00°. The distinct sites, in fractional coordinates, are Li at (0.0000, 0.0000, 0.5000), Tc at (0.0000, 0.0000, 0.0000) and C at (0.5000, 0.5000, 0.5000).

7.
The following is a DFT calculation (GGA-PBE) of an optimized crystal structure of Li2TcTeC.

It has space group P4/mmm (No. 123), with a = 4.2386 Å, b = 4.2386 Å, c = 3.9864 Å, α = 90.00°, β = 90.00° and γ = 90.00°. The distinct sites, in fractional coordinates, are Li at (0.0000, 0.5000, 0.0000), Tc at (0.0000, 0.0000, 0.5000), Te at (0.5000, 0.5000, 0.5000) and C at (0.0000, 0.0000, 0.0000).

8.
The following is a DFT calculation (GGA-PBE) of an optimized crystal structure of LiTcWC2.

The formation energy is 1.9352 eV per atom.

It has space group P4/mmm (No. 123), with a = 4.0012 Å, b = 4.0012 Å, c = 4.9758 Å, α = 90.00°, β = 90.00° and γ = 90.00°. The distinct sites, in fractional coordinates, are Li at (0.0000, 0.0000, 0.0000), Tc at (0.5000, 0.5000, 0.5000), W at (0.5000, 0.5000, 0.0000) and C at (0.0000, 0.5000, 0.5000).

| no. | V (Å³/atom) | electronic total energy (eV per cell) |
| --- | --- | --- |
| 1 | 16.8 | -58.41 |
| 2 | 24.2 | -62.84 |
| 3 | 17.6 | -110.43 |
| 4 | 13.2 | -30.27 |
| 5 | 13.4 | -40.62 |
| 6 | 27.1 | -13.69 |
| 7 | 14.3 | -26.44 |
| 8 | 15.9 | -34.00 |